A plane-wave DFT calculation with PBE was carried out for crystalline PuCuTe3 at its relaxed geometry.

abc: 4.3595 8.1625 8.1620
angles: 74.03 90.01 90.01
With the nearest neighbours (Å) after each atom.
Sites, in units of the cell vectors:
Pu 0.8631 0.1941 0.2465  8 Te 3.14-3.28
Pu 0.3631 0.6942 0.7466  8 Te 3.31-3.32
Te 0.8638 0.3758 0.8347  2 Cu 2.83-2.84, 1 Te 3.00
Te 0.3632 0.3676 0.4198  2 Cu 2.65
Te 0.3629 0.0208 0.0730  2 Cu 2.65
Te 0.8624 0.6059 0.0649  2 Cu 2.84, 1 Te 3.00
Te 0.8619 0.7824 0.4281  2 Cu 2.84, 1 Te 3.00
Te 0.8644 0.0126 0.6583  2 Cu 2.83-2.84, 1 Te 3.00
Cu 0.3622 0.6941 0.2461  6 Te 2.65-2.84
Cu 0.3654 0.1941 0.7462  6 Te 2.65-2.84

**Total DFT energy (no corrections)**: -5.9735 eV per atom
**ΔE_f (raw)**: -0.4029 eV per atom
**Spin magnetization**: 5.0 μB per formula unit